[1]
The following is a DFT calculation (PBEsol) of a relaxed CdTcOs2 crystal.

abc: 5.310 5.310 2.693
angles: 103.07 103.07 117.61
Atoms (fractional coordinates):
Cd 0.000 0.000 0.000
Tc 0.500 0.500 0.000
Os 0.000 0.500 0.500
Os 0.500 0.000 0.500

SG: No. 12
DFT formation energy: 764 meV/atom


[2]
The following is a DFT calculation (PBEsol) of a relaxed CoPdO2 crystal.

abc: 5.280 5.280 5.280
angles: 125.39 125.39 80.90
Atoms (fractional coordinates):
Co 0.000 0.000 0.000
Co 0.750 0.250 0.500
Pd 0.250 0.750 0.500
Pd 0.500 0.500 0.000
O 0.071 0.125 0.446
O 0.375 0.929 0.054
O 0.679 0.625 0.554
O 0.875 0.321 0.946

SG: No. 122
formation energy from raw total energies: -0.332 eV per atom


[3]
The following is a DFT calculation (PBEsol) of a relaxed Mn3Pt2 crystal.

abc: 10.665 10.665 10.665
angles: 14.16 14.16 14.16
Atoms (fractional coordinates):
Mn 0.000 0.000 0.000
Mn 0.195 0.195 0.195
Mn 0.805 0.805 0.805
Pt 0.402 0.402 0.402
Pt 0.598 0.598 0.598

SG: No. 166
DFT formation energy: 50 meV/atom


[4]
The following is a DFT calculation (PBEsol) of a relaxed ZrScIn2 crystal.

abc: 5.342 5.342 3.140
angles: 90.00 90.00 108.84
Atoms (fractional coordinates):
Zr 0.000 0.000 0.000
Sc 0.500 0.500 0.000
In 0.000 0.500 0.500
In 0.500 0.000 0.500

SG: No. 65
offset from the most stable computed form: 0 meV per atom
DFT formation energy: -433 meV/atom


[5]
The following is a DFT calculation (PBEsol) of a relaxed ZnTe2NCl crystal.

abc: 5.853 5.853 3.289
angles: 90.00 90.00 90.00
Atoms (fractional coordinates):
Zn 0.000 0.000 0.000
Te 0.000 0.500 0.500
Te 0.500 0.000 0.500
N 0.500 0.500 0.000
Cl 0.500 0.500 0.500

SG: No. 123
formation energy from raw total energies: 1.255 eV per atom
offset from the most stable computed form: 467 meV per atom


[6]
The following is a DFT calculation (PBEsol) of a relaxed Cr2FeCu crystal.

abc: 4.214 4.214 4.214
angles: 128.35 128.35 76.06
Atoms (fractional coordinates):
Cr 0.000 0.000 0.000
Cr 0.750 0.250 0.500
Fe 0.500 0.500 0.000
Cu 0.250 0.750 0.500

SG: No. 119
offset from the most stable computed form: 77 meV per atom
DFT formation energy: 275 meV/atom